Material: HRu
Method: DFT, GGA-PBE
State: optimized geometry

Results
- E_tot (hartree per atom) = -0.2055
- N(E_F) (states/eV per atom) = 0.933
- space-group type = No. 223

Cell: 5.0841 5.0841 5.0841 Å, 90.00 90.00 90.00°
Last column: nearest neighbours and their distance in Å.
Atoms (fractional coordinates):
H  0.0000  0.2500  0.5000  4 Ru 1.80
H  0.0000  0.7500  0.5000  4 Ru 1.80
H  0.2500  0.5000  0.0000  4 Ru 1.80
H  0.5000  0.0000  0.2500  4 Ru 1.80
H  0.5000  0.0000  0.7500  4 Ru 1.80
H  0.7500  0.5000  0.0000  4 Ru 1.80
Ru  0.0000  0.5000  0.2500  4 H 1.80
Ru  0.0000  0.5000  0.7500  4 H 1.80
Ru  0.2500  0.0000  0.5000  4 H 1.80
Ru  0.5000  0.2500  0.0000  4 H 1.80
Ru  0.5000  0.7500  0.0000  4 H 1.80
Ru  0.7500  0.0000  0.5000  4 H 1.80